A geometry-optimized CaMg structure. Source: Alexandria via LeMat-Bulk, functional PBE.

Output
Crystal system ... tetragonal
ΔH_f (0 K) ... 0.174 eV/atom
Space-group type ... P4_2/mnm

Cell lengths 6.5034, 6.5034, 6.5508 Å; angles 90.00, 90.00, 90.00 degrees
Fractional coordinates of all 8 atoms:
Ca1 0.1931 0.1931 0.0000
Ca2 0.3068 0.6932 0.5000
Ca3 0.6932 0.3068 0.5000
Ca4 0.8068 0.8068 0.0000
Mg1 0.1782 0.1782 0.5000
Mg2 0.3218 0.6782 0.0000
Mg3 0.6782 0.3218 0.0000
Mg4 0.8218 0.8218 0.5000

***

A geometry-optimized GaFe3 structure. Source: Alexandria via LeMat-Bulk, functional PBE.

Output
Crystal system ... hexagonal
ΔH_f (0 K) ... -0.117 eV/atom
Space-group type ... P6_3/mmc

Cell lengths 5.1717, 5.1717, 4.1815 Å; angles 90.00, 90.00, 120.00 degrees
Fractional coordinates of all 8 atoms:
Ga1 0.3333 0.6667 0.2500
Ga2 0.6667 0.3333 0.7500
Fe1 0.1601 0.3202 0.7500
Fe2 0.1601 0.8399 0.7500
Fe3 0.3202 0.1601 0.2500
Fe4 0.6798 0.8399 0.7500
Fe5 0.8399 0.1601 0.2500
Fe6 0.8399 0.6798 0.2500

***

A geometry-optimized VPdS2 structure. Source: Alexandria via LeMat-Bulk, functional PBE.

Output
Crystal system ... tetragonal
Space-group type ... P4/mmm
Formation energy without anion corrections ... -0.410 eV/atom

Cell lengths 3.5666, 3.5666, 5.0528 Å; angles 90.00, 90.00, 90.00 degrees
Fractional coordinates of all 4 atoms:
V1 0.0000 0.0000 0.0000
Pd1 0.5000 0.5000 0.5000
S1 0.0000 0.0000 0.5000
S2 0.5000 0.5000 0.0000

***

A geometry-optimized TmZn2Ga4 structure. Source: Alexandria via LeMat-Bulk, functional PBE.

Output
Offset from the most stable computed form ... 0.000 eV per atom
Crystal system ... monoclinic
ΔH_f (0 K) ... -0.221 eV/atom
Space-group type ... C2/m

Cell lengths 5.5952, 5.5952, 4.9793 Å; angles 109.85, 109.85, 64.00 degrees
Fractional coordinates of all 7 atoms:
Tm1 0.0000 0.0000 0.0000
Zn1 0.4690 0.4690 0.7342
Zn2 0.5310 0.5310 0.2658
Ga1 0.0287 0.5845 0.2964
Ga2 0.4155 0.9713 0.7036
Ga3 0.5845 0.0287 0.2964
Ga4 0.9713 0.4155 0.7036